*P*
InPt4Au: relaxed, GGA-PBE.

abc: 5.341 5.341 5.341
angles: 60.00 60.00 60.00
Fractional coordinates of all 6 atoms:
1 In 0.000 0.000 0.000
2 Pt 0.875 0.375 0.375
3 Pt 0.375 0.375 0.875
4 Pt 0.375 0.875 0.375
5 Pt 0.375 0.375 0.375
6 Au 0.750 0.750 0.750

=====

*Q*
InPt4Au: relaxed, GGA-PBE.

abc: 4.916 5.775 7.058
angles: 90.00 92.20 90.00
Fractional coordinates of all 12 atoms:
1 In 0.180 0.750 0.334
2 In 0.820 0.250 0.666
3 Pt 0.326 0.500 0.673
4 Pt 0.674 0.000 0.327
5 Pt 0.326 0.000 0.673
6 Pt 0.674 0.500 0.327
7 Pt 0.000 0.500 0.000
8 Pt 0.000 0.000 0.000
9 Pt 0.498 0.750 0.999
10 Pt 0.502 0.250 0.001
11 Au 0.823 0.750 0.663
12 Au 0.177 0.250 0.337

=====

Quick one: least stable of them? *P*

=====

*P*
In4PtAu: relaxed, GGA-PBE.

abc: 5.869 5.869 5.869
angles: 60.00 60.00 60.00
Fractional coordinates of all 6 atoms:
1 In 0.874 0.375 0.375
2 In 0.375 0.375 0.874
3 In 0.375 0.874 0.375
4 In 0.375 0.375 0.375
5 Pt 0.750 0.750 0.750
6 Au 0.000 0.000 0.000

=====

*Q*
In4PtAu: relaxed, GGA-PBE.

abc: 4.619 4.619 6.593
angles: 90.00 90.00 90.00
Fractional coordinates of all 6 atoms:
1 In 0.501 0.997 0.256
2 In 0.501 0.997 0.741
3 In 0.001 0.497 0.741
4 In 0.001 0.497 0.256
5 Pt 0.001 0.997 0.498
6 Au 0.501 0.497 0.998

=====

Quick one: least stable of them? *P*

=====

*P*
PuInAu4: relaxed, GGA-PBE.

abc: 5.644 5.644 5.644
angles: 60.00 60.00 60.00
Fractional coordinates of all 6 atoms:
1 In 0.000 0.000 0.000
2 Au 0.625 0.625 0.125
3 Au 0.625 0.125 0.625
4 Au 0.625 0.625 0.625
5 Au 0.125 0.625 0.625
6 Pu 0.250 0.250 0.250

=====

*Q*
PuInAu4: relaxed, GGA-PBE.

abc: 4.960 7.417 7.921
angles: 90.00 108.25 90.00
Fractional coordinates of all 12 atoms:
1 Pu 0.373 0.750 0.746
2 Pu 0.627 0.250 0.254
3 In 0.142 0.750 0.284
4 In 0.858 0.250 0.716
5 Au 0.228 0.429 0.456
6 Au 0.772 0.571 0.544
7 Au 0.228 0.071 0.456
8 Au 0.772 0.929 0.544
9 Au 0.567 0.750 0.133
10 Au 0.433 0.250 0.867
11 Au 0.000 0.500 0.000
12 Au 0.000 0.000 0.000

=====

Quick one: least stable of them? *Q*

=====

*P*
Pu3In4Au4: relaxed, GGA-PBE.

abc: 4.430 7.763 8.922
angles: 115.79 104.37 90.00
Fractional coordinates of all 11 atoms:
1 Pu 0.114 0.114 0.229
2 Pu 0.886 0.886 0.771
3 Pu 0.000 0.500 0.000
4 In 0.329 0.130 0.658
5 In 0.671 0.472 0.342
6 In 0.671 0.870 0.342
7 In 0.329 0.528 0.658
8 Au 0.222 0.722 0.444
9 Au 0.778 0.278 0.556
10 Au 0.500 0.808 0.000
11 Au 0.500 0.192 0.000

=====

*Q*
Pu3In4Au4: relaxed, GGA-PBE.

abc: 4.996 6.065 9.363
angles: 90.00 90.00 114.32
Fractional coordinates of all 11 atoms:
1 Pu 0.399 0.799 0.299
2 Pu 0.399 0.799 0.701
3 Pu 0.266 0.532 0.000
4 In 0.653 0.305 0.500
5 In 0.562 0.124 0.000
6 In 0.094 0.188 0.277
7 In 0.094 0.188 0.723
8 Au 0.738 0.476 0.218
9 Au 0.738 0.476 0.782
10 Au 0.917 0.834 0.500
11 Au 0.938 0.875 0.000

=====

Quick one: least stable of them? *Q*

=====

*P*
Pu2In3Au4: relaxed, GGA-PBE.

abc: 6.238 7.967 8.938
angles: 90.00 110.43 90.00
Fractional coordinates of all 18 atoms:
1 Pu 0.096 0.602 0.193
2 Pu 0.904 0.398 0.807
3 Pu 0.404 0.102 0.807
4 Pu 0.596 0.898 0.193
5 In 0.000 0.000 0.000
6 In 0.500 0.500 0.000
7 In 0.516 0.750 0.533
8 In 0.984 0.250 0.467
9 In 0.484 0.250 0.467
10 In 0.016 0.750 0.533
11 Au 0.687 0.750 0.873
12 Au 0.813 0.250 0.127
13 Au 0.313 0.250 0.127
14 Au 0.187 0.750 0.873
15 Au 0.169 0.970 0.338
16 Au 0.831 0.030 0.662
17 Au 0.331 0.470 0.662
18 Au 0.669 0.530 0.338

=====

*Q*
Pu2In3Au4: relaxed, GGA-PBE.

abc: 4.952 4.953 9.664
angles: 89.99 89.98 60.01
Fractional coordinates of all 9 atoms:
1 Pu 0.333 0.333 0.780
2 Pu 0.667 0.667 0.220
3 In 0.333 0.333 0.417
4 In 0.000 0.000 0.000
5 In 0.667 0.667 0.583
6 Au 0.667 0.667 0.904
7 Au 0.000 0.000 0.347
8 Au 0.000 0.000 0.653
9 Au 0.333 0.333 0.096

=====

Quick one: least stable of them? *P*

=====

*P*
PuIn2Au8: relaxed, GGA-PBE.

abc: 5.225 8.170 8.097
angles: 59.70 71.29 50.53
Fractional coordinates of all 11 atoms:
1 Pu 0.500 0.000 0.000
2 In 0.000 0.314 0.371
3 In 0.000 0.686 0.629
4 Au 0.858 0.088 0.246
5 Au 0.858 0.333 0.754
6 Au 0.305 0.442 0.000
7 Au 0.500 0.783 0.434
8 Au 0.500 0.217 0.566
9 Au 0.695 0.558 0.000
10 Au 0.142 0.667 0.246
11 Au 0.142 0.912 0.754

=====

*Q*
PuIn2Au8: relaxed, GGA-PBE.

abc: 4.877 8.249 7.607
angles: 126.77 108.70 90.00
Fractional coordinates of all 11 atoms:
1 Pu 0.500 0.000 0.000
2 In 0.188 0.655 0.376
3 In 0.812 0.345 0.624
4 Au 0.573 0.436 0.146
5 Au 0.317 0.106 0.635
6 Au 0.173 0.278 0.345
7 Au 0.051 0.815 0.102
8 Au 0.827 0.722 0.655
9 Au 0.683 0.894 0.365
10 Au 0.427 0.564 0.854
11 Au 0.949 0.185 0.898

=====

Quick one: least stable of them? *P*